DFT (PBE-GGA) results for a relaxed structure of Sn4As.

Output
Mass density, g cm⁻³: 5.79
Space group: Pm-3m
Energy, eV per atom: -3.7371

Unit cell a=5.403 b=5.403 c=5.403 alpha=90.00 beta=90.00 gamma=90.00
Positions (direct):
As 0.500 0.500 0.500
Sn 0.000 0.000 0.000
Sn 0.500 0.000 0.500
Sn 0.000 0.500 0.500
Sn 0.500 0.500 0.000


DFT (PBE-GGA) results for a relaxed structure of SnAs4.

Output
Mass density, g cm⁻³: 4.95
Space group: Pm-3m
Energy, eV per atom: -3.3902

Unit cell a=5.198 b=5.198 c=5.198 alpha=90.00 beta=90.00 gamma=90.00
Positions (direct):
As 0.000 0.000 0.000
As 0.500 0.000 0.500
As 0.000 0.500 0.500
As 0.500 0.500 0.000
Sn 0.500 0.500 0.500


DFT (PBE-GGA) results for a relaxed structure of Sr5Sn2As6.

Output
Mass density, g cm⁻³: 4.83
Space group: Pbam
Energy, eV per atom: -4.3077

Unit cell a=4.321 b=12.069 c=14.829 alpha=90.00 beta=90.00 gamma=90.00
Positions (direct):
Sr 0.500 0.334 0.489
Sr 0.500 0.666 0.511
Sr 0.500 0.834 0.011
Sr 0.500 0.166 0.989
Sr 0.500 0.573 0.252
Sr 0.500 0.427 0.748
Sr 0.500 0.073 0.248
Sr 0.500 0.927 0.752
Sr 0.500 0.500 0.000
Sr 0.500 0.000 0.500
Sn 0.000 0.325 0.279
Sn 0.000 0.675 0.721
Sn 0.000 0.825 0.221
Sn 0.000 0.175 0.779
As 0.000 0.154 0.398
As 0.000 0.846 0.602
As 0.000 0.654 0.102
As 0.000 0.346 0.898
As 0.500 0.320 0.167
As 0.500 0.680 0.833
As 0.500 0.820 0.333
As 0.500 0.180 0.667
As 0.000 0.493 0.397
As 0.000 0.507 0.603
As 0.000 0.993 0.103
As 0.000 0.007 0.897


DFT (PBE-GGA) results for a relaxed structure of Sr2SnAs2.

Output
Mass density, g cm⁻³: 5.00
Space group: I4/mmm
Energy, eV per atom: -3.9471

Unit cell a=3.916 b=3.916 c=10.008 alpha=78.72 beta=78.72 gamma=90.00
Positions (direct):
Sr 0.384 0.384 0.231
Sr 0.616 0.616 0.769
As 0.750 0.250 0.500
As 0.250 0.750 0.500
Sn 0.000 0.000 0.000


DFT (PBE-GGA) results for a relaxed structure of Sr3Sn2As4.

Output
Mass density, g cm⁻³: 4.71
Space group: C2/c
Energy, eV per atom: -4.2362

Unit cell a=8.365 b=8.495 c=9.008 alpha=118.13 beta=92.36 gamma=90.00
Positions (direct):
Sr 0.152 0.802 0.756
Sr 0.348 0.047 0.244
Sr 0.848 0.198 0.244
Sr 0.652 0.953 0.756
Sr 0.750 0.509 0.000
Sr 0.250 0.491 0.000
Sn 0.520 0.551 0.369
Sn 0.980 0.182 0.631
Sn 0.480 0.449 0.631
Sn 0.020 0.818 0.369
As 0.494 0.736 0.922
As 0.006 0.813 0.078
As 0.506 0.264 0.078
As 0.994 0.187 0.922
As 0.838 0.622 0.459
As 0.662 0.163 0.541
As 0.162 0.378 0.541
As 0.338 0.837 0.459


DFT (PBE-GGA) results for a relaxed structure of SrSnAs3.

Output
Mass density, g cm⁻³: 4.18
Space group: Pm-3m
Energy, eV per atom: -3.0855

Unit cell a=5.551 b=5.551 c=5.551 alpha=90.00 beta=90.00 gamma=90.00
Positions (direct):
Sr 0.000 0.000 0.000
As 0.000 0.500 0.000
As 0.000 0.000 0.500
As 0.500 0.000 0.000
Sn 0.500 0.500 0.500


DFT (PBE-GGA) results for a relaxed structure of Sr5SnAs8.

Output
Mass density, g cm⁻³: 4.55
Space group: I-4
Energy, eV per atom: -4.2245

Unit cell a=8.311 b=8.311 c=8.311 alpha=102.98 beta=102.98 gamma=123.42
Positions (direct):
Sr 0.932 0.348 0.936
Sr 0.652 0.588 0.584
Sr 0.412 0.996 0.064
Sr 0.500 0.500 0.000
Sr 0.004 0.068 0.416
Sn 0.250 0.750 0.500
As 0.968 0.759 0.080
As 0.241 0.321 0.210
As 0.456 0.726 0.310
As 0.274 0.584 0.730
As 0.854 0.544 0.270
As 0.112 0.032 0.790
As 0.679 0.888 0.920
As 0.416 0.146 0.690


DFT (PBE-GGA) results for a relaxed structure of Sr5Sn2As6.

Output
Mass density, g cm⁻³: 4.83
Space group: Pbam
Energy, eV per atom: -4.3150

Unit cell a=4.311 b=12.661 c=14.170 alpha=90.00 beta=90.00 gamma=90.00
Positions (direct):
Sr 0.000 0.621 0.255
Sr 0.000 0.379 0.745
Sr 0.000 0.121 0.245
Sr 0.000 0.879 0.755
Sr 0.000 0.867 0.431
Sr 0.000 0.133 0.569
Sr 0.000 0.367 0.069
Sr 0.000 0.633 0.931
Sr 0.000 0.500 0.500
Sr 0.000 0.000 0.000
Sn 0.500 0.787 0.104
Sn 0.500 0.213 0.896
Sn 0.500 0.287 0.396
Sn 0.500 0.713 0.604
As 0.500 0.577 0.097
As 0.500 0.423 0.903
As 0.500 0.077 0.403
As 0.500 0.923 0.597
As 0.500 0.668 0.421
As 0.500 0.332 0.579
As 0.500 0.168 0.079
As 0.500 0.832 0.921
As 0.000 0.869 0.197
As 0.000 0.131 0.803
As 0.000 0.369 0.303
As 0.000 0.631 0.697